Entry 1:
Below is a relaxed Ba2Cl2F crystal, with properties calculated at the PBE level.

It has space group P4/mmm (No. 123), with a = 6.145 Å, b = 6.145 Å, c = 14.675 Å, α = 90.00°, β = 90.00° and γ = 90.00°. The asymmetric unit holds Ba at (0.000, 0.000, 0.170), Cl at (0.000, 0.000, 0.355) and F at (0.000, 0.000, 0.000).

The excess energy over the best structure of this formula in the dataset comes out at 720 meV/atom. Its magnetization is 0.00 μB/f.u. The formation energy without anion corrections is -1740 meV/atom. As for the total DFT energy (no corrections): -18.11 eV per formula unit. Its crystal system is tetragonal.

Entry 2:
Below is a relaxed BaClF2 crystal, with properties calculated at the PBE level.

It has space group I-42d (No. 122), with a = 4.823 Å, b = 4.823 Å, c = 16.497 Å, α = 90.00°, β = 90.00° and γ = 90.00°. The asymmetric unit holds Ba at (0.000, 0.000, 0.000), Cl at (0.000, 0.000, 0.500) and F at (0.207, 0.250, 0.125).

The excess energy over the best structure of this formula in the dataset comes out at 150 meV/atom. Its magnetization is 1.00 μB/f.u. The formation energy without anion corrections is -2397 meV/atom. As for the total DFT energy (no corrections): -17.10 eV per formula unit. Its crystal system is tetragonal.

Entry 3:
Below is a relaxed Ba2ClF3 crystal, with properties calculated at the PBE level.

It has space group P-3m1 (No. 164), with a = 4.4987 Å, b = 4.4987 Å, c = 7.4272 Å, α = 90.00°, β = 90.00° and γ = 120.00°. The asymmetric unit holds Ba at (0.3333, 0.6667, 0.2983), Cl at (0.0000, 0.0000, 0.0000), F at (0.0000, 0.0000, 0.5000) and F at (0.3333, 0.6667, 0.6684).

The excess energy over the best structure of this formula in the dataset comes out at 0 meV/atom. Its magnetization is 0.06 μB/f.u. The formation energy without anion corrections is -3507 meV/atom. As for the total DFT energy (no corrections): -32.35 eV per formula unit. Its crystal system is trigonal.

Entry 4:
Below is a relaxed BaClF2 crystal, with properties calculated at the PBE level.

It has space group Fm-3m (No. 225), with a = 6.713 Å, b = 6.713 Å, c = 6.713 Å, α = 90.00°, β = 90.00° and γ = 90.00°. The asymmetric unit holds Ba at (0.000, 0.000, 0.000), Cl at (0.000, 0.000, 0.500) and F at (0.250, 0.250, 0.250).

The excess energy over the best structure of this formula in the dataset comes out at 95 meV/atom. Its magnetization is 1.00 μB/f.u. The formation energy without anion corrections is -2452 meV/atom. As for the total DFT energy (no corrections): -17.32 eV per formula unit. Its crystal system is cubic.